Entry 1:
First-principles (SCAN) data for SrBe2SiRh at its PBEsol-relaxed geometry, as listed in Alexandria via LeMat-Bulk.

Results
Space-group type: P4/mmm, No. 123
Calculated total energy in eV per atom: -14.170
Formation energy without anion corrections in eV per atom: 0.78
Size of the total moment in μB/f.u.: 0.00

a = 4.1504 Å, b = 4.1504 Å, c = 5.7066 Å
α = 90.00°, β = 90.00°, γ = 90.00°
Fractional positions:
Sr: 0.0000 0.0000 0.0000
Be: 0.0000 0.5000 0.5000
Be: 0.5000 0.0000 0.5000
Si: 0.0000 0.0000 0.5000
Rh: 0.5000 0.5000 0.0000



Entry 2:
First-principles (SCAN) data for ZnPb2F6 at its PBEsol-relaxed geometry, as listed in Alexandria via LeMat-Bulk.

Results
Space-group type: P4_2/ncm, No. 138
Calculated total energy in eV per atom: -23.164
Formation energy without anion corrections in eV per atom: -2.46
Size of the total moment in μB/f.u.: 0.00

a = 5.6311 Å, b = 5.6311 Å, c = 15.9412 Å
α = 90.00°, β = 90.00°, γ = 90.00°
Fractional positions:
Zn: 0.0000 0.0000 0.0000
Zn: 0.0000 0.5000 0.5000
Zn: 0.5000 0.0000 0.5000
Zn: 0.5000 0.5000 0.0000
Pb: 0.0096 0.0096 0.3441
Pb: 0.0096 0.4904 0.8441
Pb: 0.4904 0.0096 0.8441
Pb: 0.4904 0.4904 0.3441
Pb: 0.5096 0.5096 0.6559
Pb: 0.5096 0.9904 0.1559
Pb: 0.9904 0.5096 0.1559
Pb: 0.9904 0.9904 0.6559
F: 0.0580 0.0580 0.8783
F: 0.0580 0.4420 0.3783
F: 0.2500 0.2500 0.0383
F: 0.2500 0.2500 0.2414
F: 0.2500 0.2500 0.5383
F: 0.2500 0.2500 0.7414
F: 0.2500 0.7500 0.0000
F: 0.2500 0.7500 0.2500
F: 0.2500 0.7500 0.5000
F: 0.2500 0.7500 0.7500
F: 0.4420 0.0580 0.3783
F: 0.4420 0.4420 0.8783
F: 0.5580 0.5580 0.1217
F: 0.5580 0.9420 0.6217
F: 0.7500 0.2500 0.0000
F: 0.7500 0.2500 0.2500
F: 0.7500 0.2500 0.5000
F: 0.7500 0.2500 0.7500
F: 0.7500 0.7500 0.2586
F: 0.7500 0.7500 0.4617
F: 0.7500 0.7500 0.7586
F: 0.7500 0.7500 0.9617
F: 0.9420 0.5580 0.6217
F: 0.9420 0.9420 0.1217



Entry 3:
First-principles (SCAN) data for KCdOs2 at its PBEsol-relaxed geometry, as listed in Alexandria via LeMat-Bulk.

Results
Space-group type: Pmmm, No. 47
DFT formation energy in eV/atom: 1.236
Calculated total energy in eV per atom: -44.390
Size of the total moment in μB/f.u.: 0.88

a = 2.7009 Å, b = 4.9222 Å, c = 5.3261 Å
α = 90.00°, β = 90.00°, γ = 90.00°
Fractional positions:
K: 0.0000 0.0000 0.0000
Cd: 0.5000 0.5000 0.0000
Os: 0.0000 0.5000 0.5000
Os: 0.5000 0.0000 0.5000



Entry 4:
First-principles (SCAN) data for Na3GaSb at its PBEsol-relaxed geometry, as listed in Alexandria via LeMat-Bulk.

Results
Space-group type: Pm-3m, No. 221
Calculated total energy in eV per atom: -13.123
Formation energy without anion corrections in eV per atom: 0.13
Size of the total moment in μB/f.u.: 0.78

a = 5.7569 Å, b = 5.7569 Å, c = 5.7569 Å
α = 90.00°, β = 90.00°, γ = 90.00°
Fractional positions:
Na: 0.0000 0.0000 0.5000
Na: 0.0000 0.5000 0.0000
Na: 0.5000 0.0000 0.0000
Ga: 0.5000 0.5000 0.5000
Sb: 0.0000 0.0000 0.0000



Entry 5:
First-principles (SCAN) data for SiIr2Cl at its PBEsol-relaxed geometry, as listed in Alexandria via LeMat-Bulk.

Results
Space-group type: Pmm2, No. 25
Calculated total energy in eV per atom: -39.544
Energy relative to the lowest polymorph listed for this composition in meV per atom: 0
Formation energy without anion corrections in eV per atom: 0.50
Size of the total moment in μB/f.u.: 0.00

a = 2.8569 Å, b = 3.7976 Å, c = 5.3078 Å
α = 90.00°, β = 90.00°, γ = 90.00°
Fractional positions:
Si: 0.0000 0.0000 0.0000
Ir: 0.0000 0.0000 0.4863
Ir: 0.5000 0.5000 0.8327
Cl: 0.5000 0.5000 0.3755



Entry 6:
First-principles (SCAN) data for LiSi2Rh at its PBEsol-relaxed geometry, as listed in Alexandria via LeMat-Bulk.

Results
Space-group type: Pmm2, No. 25
Calculated total energy in eV per atom: -14.419
Energy relative to the lowest polymorph listed for this composition in meV per atom: 86
Formation energy without anion corrections in eV per atom: -0.37
Size of the total moment in μB/f.u.: 0.00

a = 2.9462 Å, b = 3.3953 Å, c = 5.0315 Å
α = 90.00°, β = 90.00°, γ = 90.00°
Fractional positions:
Li: 0.0000 0.0000 0.0000
Si: 0.0000 0.0000 0.4961
Si: 0.5000 0.5000 0.7690
Rh: 0.5000 0.5000 0.2755



Entry 7:
First-principles (SCAN) data for Zr2NbCuNi at its PBEsol-relaxed geometry, as listed in Alexandria via LeMat-Bulk.

Results
Space-group type: P4/mmm, No. 123
DFT formation energy in eV/atom: 0.587
Calculated total energy in eV per atom: -24.593
Size of the total moment in μB/f.u.: 0.00

a = 4.7448 Å, b = 4.7448 Å, c = 4.5427 Å
α = 90.00°, β = 90.00°, γ = 90.00°
Fractional positions:
Zr: 0.0000 0.5000 0.0000
Zr: 0.5000 0.0000 0.0000
Nb: 0.0000 0.0000 0.5000
Cu: 0.5000 0.5000 0.5000
Ni: 0.0000 0.0000 0.0000



Entry 8:
First-principles (SCAN) data for KSr2In2 at its PBEsol-relaxed geometry, as listed in Alexandria via LeMat-Bulk.

Results
Space-group type: P4/mbm, No. 127
DFT formation energy in eV/atom: -0.362
Calculated total energy in eV per atom: -24.293
Energy relative to the lowest polymorph listed for this composition in meV per atom: 0
Size of the total moment in μB/f.u.: 0.13

a = 9.4991 Å, b = 9.4991 Å, c = 4.0664 Å
α = 90.00°, β = 90.00°, γ = 90.00°
Fractional positions:
K: 0.0000 0.0000 0.0000
K: 0.5000 0.5000 0.0000
Sr: 0.1764 0.3236 0.5000
Sr: 0.3236 0.8236 0.5000
Sr: 0.6764 0.1764 0.5000
Sr: 0.8236 0.6764 0.5000
In: 0.1148 0.6148 0.0000
In: 0.3852 0.1148 0.0000
In: 0.6148 0.8852 0.0000
In: 0.8852 0.3852 0.0000



Entry 9:
First-principles (SCAN) data for CdTcNi2 at its PBEsol-relaxed geometry, as listed in Alexandria via LeMat-Bulk.

Results
Space-group type: Cm, No. 8
DFT formation energy in eV/atom: 0.249
Calculated total energy in eV per atom: -24.207
Size of the total moment in μB/f.u.: 0.00

a = 4.7559 Å, b = 4.7559 Å, c = 4.5512 Å
α = 104.76°, β = 104.76°, γ = 32.11°
Fractional positions:
Cd: 0.0000 0.0000 0.0000
Tc: 0.7798 0.7798 0.3558
Ni: 0.2408 0.2408 0.8160
Ni: 0.5222 0.5222 0.5082



Entry 10:
First-principles (SCAN) data for SrLi2Au at its PBEsol-relaxed geometry, as listed in Alexandria via LeMat-Bulk.

Results
Space-group type: R3m, No. 160
DFT formation energy in eV/atom: -0.526
Calculated total energy in eV per atom: -24.579
Energy relative to the lowest polymorph listed for this composition in meV per atom: 0
Size of the total moment in μB/f.u.: 0.00

a = 5.9844 Å, b = 5.9844 Å, c = 5.9844 Å
α = 44.51°, β = 44.51°, γ = 44.51°
Fractional positions:
Sr: 0.0000 0.0000 0.0000
Li: 0.5173 0.5173 0.5173
Li: 0.8059 0.8059 0.8059
Au: 0.2012 0.2012 0.2012



Entry 11:
First-principles (SCAN) data for In2ReIr at its PBEsol-relaxed geometry, as listed in Alexandria via LeMat-Bulk.

Results
Space-group type: C2/m, No. 12
DFT formation energy in eV/atom: 0.513
Calculated total energy in eV per atom: -51.729
Size of the total moment in μB/f.u.: 0.00

a = 5.3974 Å, b = 5.3974 Å, c = 2.8641 Å
α = 104.26°, β = 104.26°, γ = 113.52°
Fractional positions:
In: 0.0000 0.5000 0.0000
In: 0.5000 0.0000 0.0000
Re: 0.0000 0.0000 0.5000
Ir: 0.5000 0.5000 0.5000



Entry 12:
First-principles (SCAN) data for SrLi2Ca at its PBEsol-relaxed geometry, as listed in Alexandria via LeMat-Bulk.

Results
Space-group type: P4mm, No. 99
DFT formation energy in eV/atom: 0.027
Calculated total energy in eV per atom: -9.153
Energy relative to the lowest polymorph listed for this composition in meV per atom: 16
Size of the total moment in μB/f.u.: 0.11

a = 3.9062 Å, b = 3.9062 Å, c = 8.7020 Å
α = 90.00°, β = 90.00°, γ = 90.00°
Fractional positions:
Sr: 0.0000 0.0000 0.0000
Li: 0.0000 0.0000 0.5836
Li: 0.5000 0.5000 0.7300
Ca: 0.5000 0.5000 0.3412